DFT (GGA-PBE) results for an optimized crystal structure of LaPtPb. Values from VASP.

The structure in Quantum ESPRESSO input format:
```
&SYSTEM
  ibrav = 0, nat = 3, ntyp = 3
/
ATOMIC_SPECIES
La 138.91 La.upf
Pb 207.20 Pb.upf
Pt 195.08 Pt.upf
CELL_PARAMETERS angstrom
6.504 -0.010 0.011
5.510 3.455 0.011
0.994 0.285 3.453
ATOMIC_POSITIONS crystal
La 0.025 0.025 0.975
Pb 0.309 0.309 0.691
Pt 0.666 0.666 0.334
```

The formation energy comes out at -0.63 eV per atom. The symmetry is I4mm (107).

DFT (GGA-PBE) results for an optimized crystal structure of La2PtPb2. Values from VASP.

The structure in Quantum ESPRESSO input format:
```
&SYSTEM
  ibrav = 0, nat = 10, ntyp = 3
/
ATOMIC_SPECIES
Pb 207.20 Pb.upf
Pt 195.08 Pt.upf
La 138.91 La.upf
CELL_PARAMETERS angstrom
-4.879 -5.107 3.283
3.113 -5.721 -4.271
3.531 -0.924 3.811
ATOMIC_POSITIONS crystal
Pb 0.141 0.641 0.500
Pb 0.641 0.859 0.500
Pb 0.859 0.359 0.500
Pb 0.359 0.141 0.500
Pt 0.000 0.000 0.000
Pt 0.500 0.500 0.000
La 0.331 0.831 0.000
La 0.831 0.669 0.000
La 0.669 0.169 0.000
La 0.169 0.331 0.000
```

The formation energy comes out at -0.48 eV per atom. The symmetry is P4/mbm (127).

DFT (GGA-PBE) results for an optimized crystal structure of LaPtPb2. Values from VASP.

The structure in Quantum ESPRESSO input format:
```
&SYSTEM
  ibrav = 0, nat = 4, ntyp = 3
/
ATOMIC_SPECIES
La 138.91 La.upf
Pb 207.20 Pb.upf
Pt 195.08 Pt.upf
CELL_PARAMETERS angstrom
5.304 0.000 0.000
2.652 4.593 0.000
2.652 1.531 4.331
ATOMIC_POSITIONS crystal
La 0.500 0.500 0.500
Pb 0.000 0.000 0.000
Pb 0.250 0.250 0.250
Pt 0.750 0.750 0.750
```

The formation energy comes out at -0.39 eV per atom. The symmetry is F-43m (216).